No. 1
# CsZnSi2Tc

A relaxed structure of CsZnSi2Tc (GGA-PBE, Alexandria via LeMat-Bulk).

Lattice parameters (Å, degrees): 4.734 4.734 5.245 90.00 90.00 90.00
Fractional coordinates of all 5 atoms:
Cs  0.000  0.000  0.000
Zn  0.500  0.500  0.000
Si  0.000  0.500  0.500
Si  0.500  0.000  0.500
Tc  0.500  0.500  0.500

Raw formation energy = 0.0660 eV/atom



No. 2
# Cs3SiTe4

A relaxed structure of Cs3SiTe4 (GGA-PBE, Alexandria via LeMat-Bulk).

Lattice parameters (Å, degrees): 9.284 9.284 9.284 137.24 67.01 131.03
Fractional coordinates of all 8 atoms:
Cs  0.000  0.000  0.000
Cs  0.169  0.882  0.286
Cs  0.596  0.882  0.714
Si  0.725  0.225  0.500
Te  0.036  0.397  0.639
Te  0.491  0.256  0.765
Te  0.491  0.727  0.235
Te  0.759  0.397  0.361

Raw formation energy = -0.7257 eV/atom



No. 3
# CsSi3Te

A relaxed structure of CsSi3Te (GGA-PBE, Alexandria via LeMat-Bulk).

Lattice parameters (Å, degrees): 5.519 5.519 5.519 90.00 90.00 90.00
Fractional coordinates of all 5 atoms:
Cs  0.000  0.000  0.000
Si  0.000  0.500  0.500
Si  0.500  0.000  0.500
Si  0.500  0.500  0.000
Te  0.500  0.500  0.500

Raw formation energy = 0.9998 eV/atom



No. 4
# CsSi3Te

A relaxed structure of CsSi3Te (GGA-PBE, Alexandria via LeMat-Bulk).

Lattice parameters (Å, degrees): 5.612 5.612 5.612 90.00 90.00 90.00
Fractional coordinates of all 5 atoms:
Cs  0.000  0.000  0.000
Si  0.000  0.000  0.500
Si  0.000  0.500  0.000
Si  0.500  0.000  0.000
Te  0.500  0.500  0.500

Raw formation energy = 2.1967 eV/atom



No. 5
# Cs3SiTe

A relaxed structure of Cs3SiTe (GGA-PBE, Alexandria via LeMat-Bulk).

Lattice parameters (Å, degrees): 7.325 7.325 7.325 90.00 90.00 90.00
Fractional coordinates of all 5 atoms:
Cs  0.000  0.000  0.500
Cs  0.000  0.500  0.000
Cs  0.500  0.000  0.000
Si  0.500  0.500  0.500
Te  0.000  0.000  0.000

Raw formation energy = -0.0575 eV/atom



No. 6
# Cs5SiTe4

A relaxed structure of Cs5SiTe4 (GGA-PBE, Alexandria via LeMat-Bulk).

Lattice parameters (Å, degrees): 10.824 11.633 9.063 90.00 90.00 90.00
Fractional coordinates of all 20 atoms:
Cs  0.011  0.059  0.233
Cs  0.011  0.441  0.233
Cs  0.250  0.750  0.366
Cs  0.489  0.059  0.233
Cs  0.489  0.441  0.233
Cs  0.511  0.559  0.767
Cs  0.511  0.941  0.767
Cs  0.750  0.250  0.634
Cs  0.989  0.559  0.767
Cs  0.989  0.941  0.767
Si  0.250  0.250  0.712
Si  0.750  0.750  0.288
Te  0.044  0.250  0.878
Te  0.250  0.060  0.542
Te  0.250  0.440  0.542
Te  0.456  0.250  0.878
Te  0.544  0.750  0.122
Te  0.750  0.560  0.458
Te  0.750  0.940  0.458
Te  0.956  0.750  0.122

Raw formation energy = -0.7511 eV/atom



No. 7
# Cs5Si2Te6

A relaxed structure of Cs5Si2Te6 (GGA-PBE, Alexandria via LeMat-Bulk).

Lattice parameters (Å, degrees): 8.791 8.791 19.657 99.73 99.73 65.94
Fractional coordinates of all 26 atoms:
Cs  0.132  0.868  0.750
Cs  0.187  0.715  0.001
Cs  0.256  0.425  0.280
Cs  0.285  0.813  0.499
Cs  0.425  0.256  0.780
Cs  0.575  0.744  0.220
Cs  0.715  0.187  0.501
Cs  0.744  0.575  0.720
Cs  0.813  0.285  0.999
Cs  0.868  0.132  0.250
Si  0.129  0.415  0.571
Si  0.415  0.129  0.071
Si  0.585  0.871  0.929
Si  0.871  0.585  0.429
Te  0.093  0.207  0.637
Te  0.136  0.297  0.437
Te  0.207  0.093  0.137
Te  0.297  0.136  0.937
Te  0.382  0.478  0.625
Te  0.478  0.382  0.125
Te  0.522  0.618  0.875
Te  0.618  0.522  0.375
Te  0.703  0.864  0.063
Te  0.793  0.907  0.863
Te  0.864  0.703  0.563
Te  0.907  0.793  0.363

Raw formation energy = -0.7186 eV/atom



No. 8
# Cs2Tl2SiTe4

A relaxed structure of Cs2Tl2SiTe4 (GGA-PBE, Alexandria via LeMat-Bulk).

Lattice parameters (Å, degrees): 7.732 7.732 6.442 100.71 100.71 68.29
Fractional coordinates of all 9 atoms:
Cs  0.134  0.134  0.285
Cs  0.866  0.866  0.715
Tl  0.346  0.346  0.841
Tl  0.654  0.654  0.159
Si  0.500  0.500  0.500
Te  0.176  0.612  0.247
Te  0.388  0.824  0.753
Te  0.612  0.176  0.247
Te  0.824  0.388  0.753

Raw formation energy = -0.3908 eV/atom



No. 9
# CsTl2SiTe4

A relaxed structure of CsTl2SiTe4 (GGA-PBE, Alexandria via LeMat-Bulk).

Lattice parameters (Å, degrees): 9.334 9.334 9.013 118.72 118.72 91.65
Fractional coordinates of all 16 atoms:
Cs  0.000  0.000  0.000
Cs  0.000  0.000  0.500
Tl  0.000  0.500  0.000
Tl  0.500  0.000  0.500
Tl  0.500  0.500  0.000
Tl  0.500  0.500  0.500
Si  0.000  0.500  0.500
Si  0.500  0.000  0.000
Te  0.264  0.309  0.536
Te  0.264  0.735  0.960
Te  0.265  0.736  0.540
Te  0.309  0.264  0.036
Te  0.691  0.736  0.964
Te  0.735  0.264  0.460
Te  0.736  0.265  0.040
Te  0.736  0.691  0.464

Raw formation energy = -0.0708 eV/atom



No. 10
# Cs2TlSiTe4

A relaxed structure of Cs2TlSiTe4 (GGA-PBE, Alexandria via LeMat-Bulk).

Lattice parameters (Å, degrees): 15.642 14.108 8.472 83.72 63.70 32.57
Fractional coordinates of all 16 atoms:
Cs  0.059  0.059  0.691
Cs  0.309  0.309  0.941
Cs  0.691  0.691  0.059
Cs  0.941  0.941  0.309
Tl  0.125  0.125  0.125
Tl  0.875  0.875  0.875
Si  0.375  0.375  0.375
Si  0.625  0.625  0.625
Te  0.026  0.614  0.528
Te  0.332  0.528  0.614
Te  0.386  0.974  0.668
Te  0.472  0.668  0.974
Te  0.528  0.332  0.026
Te  0.614  0.026  0.332
Te  0.668  0.472  0.386
Te  0.974  0.386  0.472

Raw formation energy = -0.5095 eV/atom



No. 11
# CsTmSiTe4

A relaxed structure of CsTmSiTe4 (GGA-PBE, Alexandria via LeMat-Bulk).

Lattice parameters (Å, degrees): 7.107 7.662 10.454 90.00 109.31 90.00
Fractional coordinates of all 14 atoms:
Cs  0.234  0.250  0.054
Cs  0.766  0.750  0.946
Tm  0.227  0.250  0.548
Tm  0.773  0.750  0.452
Si  0.215  0.750  0.340
Si  0.785  0.250  0.660
Te  0.024  0.507  0.696
Te  0.024  0.993  0.696
Te  0.415  0.750  0.183
Te  0.446  0.750  0.580
Te  0.554  0.250  0.420
Te  0.585  0.250  0.817
Te  0.976  0.007  0.304
Te  0.976  0.493  0.304

Raw formation energy = -0.8021 eV/atom



No. 12
# CsVSi2Te8

A relaxed structure of CsVSi2Te8 (GGA-PBE, Alexandria via LeMat-Bulk).

Lattice parameters (Å, degrees): 9.751 9.751 9.751 42.30 42.30 42.30
Fractional coordinates of all 12 atoms:
Cs  0.000  0.000  0.000
V  0.500  0.500  0.500
Si  0.251  0.251  0.251
Si  0.749  0.749  0.749
Te  0.117  0.802  0.434
Te  0.198  0.566  0.883
Te  0.347  0.347  0.347
Te  0.434  0.117  0.802
Te  0.566  0.883  0.198
Te  0.653  0.653  0.653
Te  0.802  0.434  0.117
Te  0.883  0.198  0.566

Raw formation energy = -0.1651 eV/atom



no.,calculated total energy (eV per atom),V (Å³ per atom)
1,-4.60,23.5
2,-3.29,50.4
3,-3.05,33.6
4,-1.86,35.4
5,-2.28,78.6
6,-2.98,57.1
7,-3.33,52.3
8,-3.11,38.7
9,-3.02,35.5
10,-3.27,47.2
11,-4.13,38.4
12,-3.99,31.7